# TiTl3Te

A geometry-optimized TiTl3Te structure (PBE-GGA, Alexandria via LeMat-Bulk).

The space group is Pm-3m (No. 221) and the conventional cell measures 5.5591, 5.5591 and 5.5591 Å, with angles of 90.00, 90.00 and 90.00 degrees. The asymmetric unit holds Ti at (0.0000, 0.0000, 0.0000), Tl at (0.0000, 0.0000, 0.5000) and Te at (0.5000, 0.5000, 0.5000).

For the electronic total energy, the calculation gives -16.0 eV for the cell shown. As for the energy relative to the elements, uncorrected: 0.427 eV/atom. The calculation puts the magnetization at 2.92 μB per cell. As for the mass density: 7.6 g/cm3. The density of states at the Fermi level comes out at 10.6 states/eV per cell. The relative energy among the computed polymorphs comes out at 0.0 meV/atom.